Compound: NaZn2Si
Source: Alexandria
Functional: PBE
Structure: optimized geometry

Properties
ΔE_f (raw) ... 0.08 eV per atom

CIF file:
```
data_NaZn2Si
_chemical_formula_sum 'Na2 Zn4 Si2'
_cell_length_a 3.992
_cell_length_b 3.992
_cell_length_c 9.583
_cell_angle_alpha 90.00
_cell_angle_beta 90.00
_cell_angle_gamma 90.00
_symmetry_space_group_name_H-M 'P 4/n m m'
_symmetry_Int_Tables_number 129
loop_
_symmetry_equiv_pos_as_xyz
'x,y,z'
'-x,-y,-z'
'-y+1/2,x,z'
'y+1/2,-x,-z'
'-x+1/2,-y+1/2,z'
'x+1/2,y+1/2,-z'
'y,-x+1/2,z'
'-y,x+1/2,-z'
'x+1/2,-y,-z'
'-x+1/2,y,z'
'-y,-x,-z'
'y,x,z'
'-x,y+1/2,-z'
'x,-y+1/2,z'
'y+1/2,x+1/2,-z'
'-y+1/2,-x+1/2,z'
loop_
_atom_site_label
_atom_site_type_symbol
_atom_site_fract_x
_atom_site_fract_y
_atom_site_fract_z
Na1 Na 0.250 0.250 0.235
Zn1 Zn 0.250 0.250 0.930
Zn2 Zn 0.250 0.750 0.500
Si1 Si 0.250 0.250 0.662
```

---

Compound: La4Pm3Sm4
Source: Alexandria
Functional: PBE
Structure: optimized geometry

Properties
E_form ... 0.137 eV per atom

CIF file:
```
data_La4Pm3Sm4
_chemical_formula_sum 'La8 Pm6 Sm8'
_cell_length_a 10.930
_cell_length_b 5.857
_cell_length_c 12.184
_cell_angle_alpha 90.00
_cell_angle_beta 90.00
_cell_angle_gamma 90.00
_symmetry_space_group_name_H-M 'A m m 2'
_symmetry_Int_Tables_number 38
loop_
_symmetry_equiv_pos_as_xyz
'x,y,z'
'-x,-y,z'
'-x,y,z'
'x,-y,z'
'x,y+1/2,z+1/2'
'-x,-y+1/2,z+1/2'
'-x,y+1/2,z+1/2'
'x,-y+1/2,z+1/2'
loop_
_atom_site_label
_atom_site_type_symbol
_atom_site_fract_x
_atom_site_fract_y
_atom_site_fract_z
La1 La 0.000 0.000 0.000
La2 La 0.205 0.000 0.803
La3 La 0.500 0.000 0.925
Pm1 Pm 0.000 0.000 0.294
Pm2 Pm 0.293 0.000 0.453
Sm1 Sm 0.000 0.000 0.593
Sm2 Sm 0.304 0.000 0.149
Sm3 Sm 0.500 0.000 0.648
```

---

Compound: ErAlPd
Source: Alexandria
Functional: PBE
Structure: optimized geometry

Properties
E_form ... -0.891 eV per atom

CIF file:
```
data_ErAlPd
_chemical_formula_sum 'Er4 Al4 Pd4'
_cell_length_a 6.818
_cell_length_b 4.436
_cell_length_c 7.785
_cell_angle_alpha 90.00
_cell_angle_beta 90.00
_cell_angle_gamma 90.00
_symmetry_space_group_name_H-M 'P n m a'
_symmetry_Int_Tables_number 62
loop_
_symmetry_equiv_pos_as_xyz
'x,y,z'
'-x,-y,-z'
'-x+1/2,-y,z+1/2'
'x+1/2,y,-z+1/2'
'x+1/2,-y+1/2,-z+1/2'
'-x+1/2,y+1/2,z+1/2'
'-x,y+1/2,-z'
'x,-y+1/2,z'
loop_
_atom_site_label
_atom_site_type_symbol
_atom_site_fract_x
_atom_site_fract_y
_atom_site_fract_z
Er1 Er 0.033 0.250 0.181
Al1 Al 0.146 0.250 0.561
Pd1 Pd 0.231 0.750 0.382
```

---

Q: Which formula does entry 2 have?
A: La4Pm3Sm4